Computed, not measured: CaMgAs2 at its PBEsol-relaxed geometry at the SCAN level of DFT.

CIF file:
```
data_CaMgAs2
_cell_length_a 4.028
_cell_length_b 4.056
_cell_length_c 10.134
_cell_angle_alpha 90.00
_cell_angle_beta 90.00
_cell_angle_gamma 90.00
_symmetry_space_group_name_H-M 'I m m 2'
_symmetry_Int_Tables_number 44
_symmetry_space_group_name_Hall 'I 2 -2'
loop_
_atom_site_label
_atom_site_type_symbol
_atom_site_fract_x
_atom_site_fract_y
_atom_site_fract_z
Ca1 Ca 0.000 0.000 0.000
Mg1 Mg 0.000 0.500 0.249
As1 As 0.000 0.000 0.500
As2 As 0.000 0.500 0.751
```

Calculated values
**M_tot**: 0.00 μB/f.u.
**Raw total energy**: -14.34 eV/atom
**E_form**: -0.59 eV per atom



Computed, not measured: Ca2MgAs at its PBEsol-relaxed geometry at the SCAN level of DFT.

CIF file:
```
data_Ca2MgAs
_cell_length_a 4.894
_cell_length_b 4.894
_cell_length_c 8.442
_cell_angle_alpha 90.00
_cell_angle_beta 90.00
_cell_angle_gamma 90.00
_symmetry_space_group_name_H-M 'I 4/m m m'
_symmetry_Int_Tables_number 139
_symmetry_space_group_name_Hall '-I 4 2'
loop_
_atom_site_label
_atom_site_type_symbol
_atom_site_fract_x
_atom_site_fract_y
_atom_site_fract_z
Ca1 Ca 0.000 0.500 0.250
Mg1 Mg 0.000 0.000 0.000
As1 As 0.000 0.000 0.500
```

Calculated values
**M_tot**: 0.00 μB/f.u.
**Raw total energy**: -11.59 eV/atom
**E_form**: -0.47 eV per atom
**Energy above the lowest structure with this stoichiometry**: 181.1 meV per atom



Computed, not measured: Ca2MgAs at its PBEsol-relaxed geometry at the SCAN level of DFT.

CIF file:
```
data_Ca2MgAs
_cell_length_a 3.819
_cell_length_b 3.819
_cell_length_c 6.975
_cell_angle_alpha 90.00
_cell_angle_beta 90.00
_cell_angle_gamma 90.00
_symmetry_space_group_name_H-M 'P 4/m m m'
_symmetry_Int_Tables_number 123
_symmetry_space_group_name_Hall '-P 4 2'
loop_
_atom_site_label
_atom_site_type_symbol
_atom_site_fract_x
_atom_site_fract_y
_atom_site_fract_z
Ca1 Ca 0.000 0.000 0.213
Mg1 Mg 0.500 0.500 0.500
As1 As 0.500 0.500 0.000
```

Calculated values
**M_tot**: 0.00 μB/f.u.
**Raw total energy**: -11.77 eV/atom
**E_form**: -0.65 eV per atom
**Energy above the lowest structure with this stoichiometry**: 0.0 meV per atom